# 1
Li2MnF6: optimized geometry, GGA+U.

Geometry as POSCAR:
```
Li2MnF6
1.0
8.672 0.000 0.000
-4.336 7.510 0.000
0.000 0.000 4.473
Li Mn F
6 3 18
Cartesian
-1.477 2.558 0.000
-2.859 4.952 0.000
2.954 0.000 0.000
1.477 2.558 0.000
5.718 0.000 0.000
2.859 4.952 0.000
0.000 0.000 0.000
0.000 5.007 2.196
4.336 2.503 2.277
0.000 1.580 0.963
-2.967 6.720 0.963
-1.320 4.244 1.122
1.369 0.790 3.511
0.000 3.497 3.249
-1.308 5.762 3.249
1.320 4.244 1.122
0.000 6.531 1.122
3.028 1.748 1.224
1.308 5.762 3.249
4.336 0.979 3.351
3.015 3.266 3.351
5.643 1.748 1.224
4.336 4.013 1.224
2.967 6.720 0.963
5.656 3.266 3.351
7.303 0.790 3.511
4.336 5.930 3.511
```

theoretical density: 3.13 g/cm³
total DFT energy (no corrections): -5.05 eV/atom

***

# 2
Li3MnF5: optimized geometry, GGA+U.

Geometry as POSCAR:
```
Li3MnF5
1.0
5.134 0.000 0.000
-2.135 5.279 0.000
-2.428 -2.022 7.205
Li Mn F
6 2 10
Cartesian
-1.124 1.915 1.454
-0.964 1.665 4.248
-0.863 4.727 1.460
1.434 -1.470 5.745
1.535 1.592 2.957
1.695 1.342 5.751
-1.214 -1.011 3.603
1.499 2.639 0.000
-2.721 -0.418 6.919
-1.917 2.857 3.081
-0.139 0.592 2.611
-1.683 2.196 5.987
-0.062 -0.169 5.332
0.633 3.426 1.873
2.254 1.060 1.218
0.710 2.664 4.595
2.488 0.399 4.124
3.292 3.675 0.286
```

theoretical density: 2.90 g/cm³
total DFT energy (no corrections): -5.32 eV/atom

***

# 3
LiMnF4: optimized geometry, GGA+U.

Geometry as POSCAR:
```
LiMnF4
1.0
7.506 0.000 0.000
0.000 15.046 0.000
-1.651 0.000 7.564
Li Mn F
12 12 48
Cartesian
0.451 0.000 1.080
0.755 10.106 0.906
1.338 4.565 0.795
0.896 13.028 6.745
1.506 7.636 6.438
1.588 2.592 6.625
4.267 10.115 0.938
4.349 0.113 1.126
4.958 5.505 0.819
4.517 12.088 6.769
5.100 2.583 6.658
5.404 7.523 6.484
-0.744 5.102 5.122
-0.655 0.137 5.236
-0.607 10.109 5.103
2.747 7.628 2.257
2.718 2.527 2.440
2.849 12.601 2.499
3.005 5.078 5.065
3.137 10.050 5.124
3.107 0.105 5.307
6.462 2.586 2.461
6.510 7.660 2.328
6.598 12.625 2.442
-1.260 4.104 6.821
-0.415 6.147 3.265
-0.437 1.068 3.470
-1.021 9.187 6.700
-0.253 11.070 3.470
-0.794 14.257 6.910
-0.188 6.643 6.057
-0.111 1.664 6.107
-0.063 11.543 6.104
0.837 13.390 2.418
0.962 8.487 2.186
0.976 3.337 2.407
0.982 4.345 5.158
2.107 6.181 1.340
2.103 1.003 1.593
1.306 14.319 5.299
1.377 9.264 5.165
2.409 11.106 1.482
2.983 3.553 0.677
2.435 6.579 4.092
3.218 8.559 0.525
2.419 1.566 4.355
2.501 11.606 4.140
3.218 13.553 0.904
2.637 6.030 6.660
3.354 4.083 3.424
3.435 9.089 3.209
2.636 1.036 7.039
3.420 14.102 3.471
2.872 11.076 6.887
3.446 3.583 6.082
4.478 1.741 2.399
4.548 6.796 2.265
3.752 8.526 5.971
3.748 13.704 6.224
4.873 11.869 2.406
4.879 10.860 5.157
4.893 0.963 5.377
5.018 5.867 5.146
5.918 4.020 1.460
5.965 9.187 1.457
6.043 14.166 1.507
6.649 6.734 0.654
6.108 3.547 4.094
6.876 1.663 0.864
6.292 8.591 4.094
6.270 13.670 4.299
7.115 11.627 0.743
```

theoretical density: 3.22 g/cm³
total DFT energy (no corrections): -5.43 eV/atom

***

# 4
LiMn3F8: optimized geometry, GGA+U.

Geometry as POSCAR:
```
LiMn3F8
1.0
5.123 0.000 0.000
0.000 5.123 0.000
0.000 0.000 5.123
Li Mn F
1 3 8
Cartesian
0.000 0.000 0.000
0.000 2.562 2.562
2.562 0.000 2.562
2.562 2.562 0.000
1.296 1.296 1.296
1.296 1.296 3.827
1.296 3.827 1.296
1.296 3.827 3.827
3.827 1.296 1.296
3.827 1.296 3.827
3.827 3.827 1.296
3.827 3.827 3.827
```

theoretical density: 4.00 g/cm³
total DFT energy (no corrections): -5.80 eV/atom

***

# 5
LiMnF4: optimized geometry, GGA+U.

Geometry as POSCAR:
```
LiMnF4
1.0
-6.876 6.876 2.997
6.876 -6.876 2.997
6.876 6.876 -2.997
Li Mn F
8 8 32
Cartesian
1.706 1.734 0.020
-1.704 1.732 1.479
5.170 -1.734 3.016
5.172 1.732 1.518
1.704 5.144 1.479
1.706 8.610 -0.020
8.579 5.144 1.518
5.170 5.142 2.977
1.707 -1.703 1.457
8.610 1.731 0.042
8.583 -1.703 1.540
5.141 5.145 0.042
1.734 1.731 2.955
-1.707 8.579 1.457
-1.734 5.145 2.955
5.169 8.579 1.540
5.109 0.437 -0.111
12.093 0.418 -0.097
6.422 -1.669 1.369
3.875 -1.671 1.387
3.875 5.204 -1.387
6.422 5.207 -1.369
5.107 2.984 -0.129
5.218 -3.870 2.880
8.645 3.892 -0.129
1.658 3.870 -0.117
7.308 1.780 1.381
9.895 1.779 1.402
3.020 1.779 1.595
0.432 1.780 1.615
1.767 -0.437 2.885
1.658 6.457 -0.097
5.217 0.418 3.094
5.109 7.312 0.111
6.444 5.096 1.381
3.856 5.096 1.402
-3.020 5.096 1.595
-0.432 5.096 1.615
5.218 3.006 3.114
-1.769 2.984 3.126
1.658 10.745 0.117
1.769 3.892 3.126
0.454 1.669 4.366
3.001 1.671 4.384
3.001 8.547 1.610
0.454 8.545 1.628
-5.217 6.457 3.094
1.767 6.439 3.108
```

theoretical density: 3.23 g/cm³
total DFT energy (no corrections): -5.46 eV/atom

***

# 6
LiMnF4: optimized geometry, GGA+U.

Geometry as POSCAR:
```
LiMnF4
1.0
6.586 0.000 0.000
-3.293 5.703 0.000
0.000 0.000 11.841
Li Mn F
6 6 24
Cartesian
-1.329 3.884 0.000
0.639 0.926 10.401
0.594 2.610 3.947
0.736 4.913 7.894
5.464 0.091 2.507
3.775 4.687 6.454
-0.968 1.961 7.389
-1.110 5.561 3.442
2.237 1.867 7.071
2.078 3.884 11.336
3.850 1.004 11.018
3.791 2.833 3.124
-2.471 4.625 4.443
-1.624 3.948 2.065
0.523 1.251 8.390
0.787 0.863 2.704
-0.727 3.637 8.119
0.686 2.323 6.012
2.153 0.119 6.463
0.507 3.256 0.225
2.311 0.145 11.606
0.220 4.514 4.172
2.135 2.330 10.243
2.585 1.952 4.336
3.501 0.684 2.349
0.938 5.136 9.958
3.603 1.263 8.283
2.263 3.629 7.659
2.319 3.779 2.516
3.690 2.489 0.389
1.948 5.531 0.496
5.444 0.250 6.651
4.243 2.690 6.296
3.647 4.590 10.598
5.304 1.929 3.712
5.406 1.805 10.410
```

theoretical density: 3.09 g/cm³
total DFT energy (no corrections): -5.40 eV/atom

***

# 7
LiMnF5: optimized geometry, GGA+U.

Geometry as POSCAR:
```
LiMnF5
1.0
5.287 0.000 0.000
0.000 7.753 0.000
0.000 0.000 9.277
Li Mn F
4 4 20
Cartesian
1.083 1.814 1.634
1.560 5.939 6.273
3.726 2.062 7.643
4.204 5.691 3.004
0.164 4.549 9.157
2.480 3.204 4.518
2.807 7.080 0.121
5.123 0.673 4.759
0.240 0.701 2.984
0.594 4.699 7.394
0.803 2.319 4.964
1.051 2.982 0.052
1.310 0.238 0.510
1.333 7.515 5.149
1.592 4.771 4.690
1.840 5.434 0.325
2.049 3.054 2.755
2.403 7.052 7.622
2.884 3.175 6.293
3.237 6.930 1.884
3.446 1.557 4.313
3.695 0.894 9.226
3.953 3.639 8.767
3.977 4.114 4.129
4.235 6.859 4.587
4.484 6.196 8.952
4.693 0.823 6.522
5.046 4.578 1.655
```

theoretical density: 2.74 g/cm³
total DFT energy (no corrections): -5.06 eV/atom

***

# 8
LiMn2F5: optimized geometry, GGA+U.

Geometry as POSCAR:
```
LiMn2F5
1.0
6.498 0.000 0.000
-1.435 7.823 0.000
-0.169 -2.544 8.508
Li Mn F
4 8 20
Cartesian
0.708 1.343 2.874
0.674 3.154 8.034
4.221 2.125 0.474
4.187 3.937 5.634
-0.757 4.619 2.517
0.841 -1.441 7.935
0.954 5.384 5.251
2.405 0.933 6.041
2.489 4.347 2.466
3.940 -0.104 3.256
4.053 6.720 0.573
5.652 0.661 5.991
-0.718 5.437 0.613
-0.795 4.370 4.579
0.500 0.359 1.277
0.993 -0.775 5.795
0.788 3.180 2.286
0.698 2.009 6.494
0.808 4.897 7.212
1.029 5.914 3.183
2.343 1.064 3.861
2.467 -0.067 7.964
2.428 5.346 0.544
2.552 4.215 4.647
3.865 -0.635 5.325
4.086 0.383 1.295
4.197 3.270 2.014
4.106 2.099 6.222
3.901 6.054 2.712
4.394 4.921 7.231
5.689 0.909 3.928
5.613 -0.158 7.895
```

theoretical density: 3.25 g/cm³
total DFT energy (no corrections): -5.86 eV/atom

***

# 9
Li3MnF: optimized geometry, GGA+U.

Geometry as POSCAR:
```
Li3MnF
1.0
5.385 0.000 0.000
0.000 5.385 0.000
0.000 0.000 5.385
Li Mn F
3 1 1
Cartesian
0.000 0.000 2.692
0.000 2.692 0.000
2.692 0.000 0.000
0.000 0.000 0.000
2.692 2.692 2.692
```

theoretical density: 1.01 g/cm³
total DFT energy (no corrections): -2.75 eV/atom

***

# 10
LiMnF4: optimized geometry, GGA+U.

Geometry as POSCAR:
```
LiMnF4
1.0
1.940 -5.042 0.000
1.940 5.042 0.000
0.000 0.000 7.734
Li Mn F
2 2 8
Cartesian
1.940 2.765 5.800
1.940 -2.765 1.933
1.940 0.000 0.000
1.940 0.000 3.867
0.000 0.000 0.000
0.000 0.000 3.867
1.940 1.717 0.677
1.940 1.717 3.190
1.940 0.851 5.800
1.940 -0.851 1.933
1.940 -1.717 4.544
1.940 -1.717 7.057
```

theoretical density: 3.03 g/cm³
total DFT energy (no corrections): -5.37 eV/atom

***

# 11
LiMnF4: optimized geometry, GGA+U.

Geometry as POSCAR:
```
LiMnF4
1.0
4.156 -4.433 0.000
4.156 4.433 0.000
0.000 0.000 12.421
Li Mn F
6 6 24
Cartesian
4.156 3.040 9.316
2.772 0.000 0.000
2.772 0.000 6.211
5.539 0.000 0.000
5.539 0.000 6.211
4.156 -3.040 3.105
4.156 3.141 0.974
4.156 3.141 5.237
4.156 0.668 3.105
4.156 -0.668 9.316
4.156 -3.141 7.185
4.156 -3.141 11.447
4.156 3.787 7.375
4.156 3.787 11.256
1.829 1.271 7.170
1.829 1.271 11.462
2.316 0.753 3.105
4.156 2.661 3.105
1.829 -1.271 0.959
1.829 -1.271 5.251
2.316 -0.753 9.316
4.156 1.180 9.316
4.156 1.140 0.848
4.156 1.140 5.362
4.156 -1.140 7.059
4.156 -1.140 11.573
4.156 -1.180 3.105
5.995 0.753 3.105
6.483 1.271 7.170
6.483 1.271 11.462
4.156 -2.661 9.316
5.995 -0.753 9.316
6.483 -1.271 0.959
6.483 -1.271 5.251
4.156 -3.787 1.165
4.156 -3.787 5.046
```

theoretical density: 3.00 g/cm³
total DFT energy (no corrections): -5.38 eV/atom

***

# 12
Li2MnF6: optimized geometry, GGA+U.

Geometry as POSCAR:
```
Li2MnF6
1.0
8.552 0.000 0.000
-4.276 7.406 0.000
0.000 0.000 4.672
Li Mn F
6 3 18
Cartesian
-1.274 2.207 0.000
-2.730 4.729 2.336
2.549 0.000 0.000
1.546 2.677 2.336
5.461 0.000 2.336
3.002 5.199 0.000
0.000 0.000 2.336
0.000 4.938 0.043
4.276 2.469 4.628
-2.979 6.592 1.306
0.057 1.530 1.306
-1.257 4.073 1.084
1.297 0.814 3.366
-1.347 5.655 3.678
0.052 3.413 3.678
-0.120 6.458 1.084
1.377 4.281 1.084
2.929 1.751 0.994
1.295 5.745 3.678
4.156 0.948 3.588
3.019 3.333 3.588
5.571 1.661 0.994
4.328 3.994 0.994
2.922 6.690 1.306
5.653 3.125 3.588
7.199 0.716 3.366
4.333 5.876 3.366
```

theoretical density: 3.08 g/cm³
total DFT energy (no corrections): -5.08 eV/atom